Entry 1:
# TiPb2O4 GGA-PBE relaxed
# - magnetization (μB per cell) = 0.0
# - VASP energy (eV per atom) = -6.96
# - E_form (uncorrected) (eV per atom) = -1.937
# - E above lowest polymorph (meV per atom) = 0
data_TiPb2O4
_cell_length_a 12.171
_cell_length_b 7.425
_cell_length_c 5.693
_cell_angle_alpha 90.00
_cell_angle_beta 90.00
_cell_angle_gamma 90.00
_space_group_name_H-M_alt 'P n m a'
_space_group_IT_number 62
_space_group_name_Hall '-P 2ac 2n'
loop_
_atom_site_label
_atom_site_type_symbol
_atom_site_fract_x
_atom_site_fract_y
_atom_site_fract_z
Ti1 Ti 0.097 0.250 0.068
Pb1 Pb 0.000 0.000 0.500
Pb2 Pb 0.221 0.750 0.004
O1 O 0.042 0.750 0.795
O2 O 0.092 0.250 0.744
O3 O 0.164 0.056 0.208

=====

Entry 2:
# TcPHCl2 GGA-PBE relaxed
# - magnetization (μB per cell) = 2.2
# - VASP energy (eV per atom) = -4.06
# - E above lowest polymorph (meV per atom) = 0
data_TcPHCl2
_cell_length_a 4.963
_cell_length_b 4.963
_cell_length_c 4.540
_cell_angle_alpha 90.00
_cell_angle_beta 90.00
_cell_angle_gamma 90.00
_space_group_name_H-M_alt 'P 4/m m m'
_space_group_IT_number 123
_space_group_name_Hall '-P 4 2'
loop_
_atom_site_label
_atom_site_type_symbol
_atom_site_fract_x
_atom_site_fract_y
_atom_site_fract_z
Tc1 Tc 0.000 0.000 0.000
P1 P 0.000 0.000 0.500
H1 H 0.500 0.500 0.500
Cl1 Cl 0.000 0.500 0.000

=====

Entry 3:
# CsAcS2O8 GGA-PBE relaxed
# - magnetization (μB per cell) = 0.0
# - VASP energy (eV per atom) = -6.51
# - E_form (uncorrected) (eV per atom) = -2.106
data_CsAcS2O8
_cell_length_a 9.239
_cell_length_b 5.765
_cell_length_c 9.310
_cell_angle_alpha 90.00
_cell_angle_beta 93.04
_cell_angle_gamma 90.00
_space_group_name_H-M_alt 'C 1 2/m 1'
_space_group_IT_number 12
_space_group_name_Hall '-C 2y'
loop_
_atom_site_label
_atom_site_type_symbol
_atom_site_fract_x
_atom_site_fract_y
_atom_site_fract_z
Cs1 Cs 0.000 0.000 0.000
Ac1 Ac 0.000 0.000 0.500
S1 S 0.129 0.500 0.282
O1 O 0.037 0.289 0.304
O2 O 0.187 0.500 0.139
O3 O 0.247 0.500 0.401

=====

Entry 4:
# Sr2Mg3CdPb4 GGA-PBE relaxed
# - E_form (kcal/mol of atoms) = -6.537
# - magnetization (μB per cell) = 0.0
# - VASP energy (eV per atom) = -2.67
data_Sr2Mg3CdPb4
_cell_length_a 4.905
_cell_length_b 4.905
_cell_length_c 12.540
_cell_angle_alpha 90.00
_cell_angle_beta 90.00
_cell_angle_gamma 90.00
_space_group_name_H-M_alt 'P -4 m 2'
_space_group_IT_number 115
_space_group_name_Hall 'P -4 -2'
loop_
_atom_site_label
_atom_site_type_symbol
_atom_site_fract_x
_atom_site_fract_y
_atom_site_fract_z
Sr1 Sr 0.000 0.500 0.249
Mg1 Mg 0.000 0.000 0.000
Mg2 Mg 0.000 0.500 0.635
Cd1 Cd 0.500 0.500 0.000
Pb1 Pb 0.000 0.000 0.500
Pb2 Pb 0.000 0.500 0.860
Pb3 Pb 0.500 0.500 0.500

=====

Entry 5:
# NaSb2TeI GGA-PBE relaxed
# - magnetization (μB per cell) = 0.0
# - VASP energy (eV per atom) = -2.18
# - E_form (uncorrected) (eV per atom) = 0.672
# - E above lowest polymorph (meV per atom) = 349
data_NaSb2TeI
_cell_length_a 5.667
_cell_length_b 5.667
_cell_length_c 5.335
_cell_angle_alpha 90.00
_cell_angle_beta 90.00
_cell_angle_gamma 90.00
_space_group_name_H-M_alt 'P 4/m m m'
_space_group_IT_number 123
_space_group_name_Hall '-P 4 2'
loop_
_atom_site_label
_atom_site_type_symbol
_atom_site_fract_x
_atom_site_fract_y
_atom_site_fract_z
Na1 Na 0.000 0.000 0.000
Sb1 Sb 0.000 0.500 0.000
Te1 Te 0.000 0.000 0.500
I1 I 0.500 0.500 0.500

=====

Entry 6:
# SmPu2Rh2 GGA-PBE relaxed
# - E_form (kcal/mol of atoms) = -8.698
# - magnetization (μB per cell) = 33.4
# - VASP energy (eV per atom) = -9.99
# - E above lowest polymorph (meV per atom) = 24
data_SmPu2Rh2
_cell_length_a 4.6841
_cell_length_b 4.6841
_cell_length_c 17.4480
_cell_angle_alpha 90.00
_cell_angle_beta 90.00
_cell_angle_gamma 120.00
_space_group_name_H-M_alt 'R -3 m'
_space_group_IT_number 166
_space_group_name_Hall '-R 3 2"'
loop_
_atom_site_label
_atom_site_type_symbol
_atom_site_fract_x
_atom_site_fract_y
_atom_site_fract_z
Sm1 Sm 0.0000 0.0000 0.0000
Pu1 Pu 0.0000 0.0000 0.2091
Rh1 Rh 0.0000 0.0000 0.4160

=====

Entry 7:
# FeCuNiAs GGA-PBE relaxed
# - E_form (kcal/mol of atoms) = 0.576
# - magnetization (μB per cell) = 8.7
# - VASP energy (eV per atom) = -5.72
data_FeCuNiAs
_cell_length_a 5.801
_cell_length_b 5.801
_cell_length_c 5.801
_cell_angle_alpha 90.00
_cell_angle_beta 90.00
_cell_angle_gamma 90.00
_space_group_name_H-M_alt 'F -4 3 m'
_space_group_IT_number 216
_space_group_name_Hall 'F -4 2 3'
loop_
_atom_site_label
_atom_site_type_symbol
_atom_site_fract_x
_atom_site_fract_y
_atom_site_fract_z
Fe1 Fe 0.000 0.000 0.000
Cu1 Cu 0.250 0.250 0.250
Ni1 Ni 0.000 0.000 0.500
As1 As 0.250 0.250 0.750

=====

Entry 8:
# Cr2AgS4 GGA-PBE relaxed
# - magnetization (μB per cell) = 20.0
# - VASP energy (eV per atom) = -5.95
# - E_form (uncorrected) (eV per atom) = -0.438
# - E above lowest polymorph (meV per atom) = 108
data_Cr2AgS4
_cell_length_a 11.877
_cell_length_b 3.459
_cell_length_c 11.833
_cell_angle_alpha 90.00
_cell_angle_beta 90.00
_cell_angle_gamma 90.00
_space_group_name_H-M_alt 'P n m a'
_space_group_IT_number 62
_space_group_name_Hall '-P 2ac 2n'
loop_
_atom_site_label
_atom_site_type_symbol
_atom_site_fract_x
_atom_site_fract_y
_atom_site_fract_z
Cr1 Cr 0.095 0.250 0.080
Cr2 Cr 0.166 0.250 0.708
Ag1 Ag 0.121 0.750 0.410
S1 S 0.041 0.250 0.880
S2 S 0.065 0.750 0.621
S3 S 0.198 0.250 0.254
S4 S 0.223 0.750 0.039

=====

Entry 9:
# UCuSi2Ni GGA-PBE relaxed
# - magnetization (μB per cell) = 3.8
# - VASP energy (eV per atom) = -6.86
# - E_form (uncorrected) (eV per atom) = -0.459
data_UCuSi2Ni
_cell_length_a 3.947
_cell_length_b 3.947
_cell_length_c 9.777
_cell_angle_alpha 90.00
_cell_angle_beta 90.00
_cell_angle_gamma 90.00
_space_group_name_H-M_alt 'I -4 m 2'
_space_group_IT_number 119
_space_group_name_Hall 'I -4 -2'
loop_
_atom_site_label
_atom_site_type_symbol
_atom_site_fract_x
_atom_site_fract_y
_atom_site_fract_z
U1 U 0.000 0.000 0.000
Cu1 Cu 0.000 0.500 0.750
Si1 Si 0.000 0.000 0.380
Ni1 Ni 0.000 0.500 0.250

=====

Entry 10:
# LuMg2Al2 GGA-PBE relaxed
# - E_form (kcal/mol of atoms) = -1.819
# - magnetization (μB per cell) = 0.0
# - VASP energy (eV per atom) = -3.12
data_LuMg2Al2
_cell_length_a 3.337
_cell_length_b 5.292
_cell_length_c 6.673
_cell_angle_alpha 103.29
_cell_angle_beta 104.45
_cell_angle_gamma 90.17
_space_group_name_H-M_alt 'P -1'
_space_group_IT_number 2
_space_group_name_Hall '-P 1'
loop_
_atom_site_label
_atom_site_type_symbol
_atom_site_fract_x
_atom_site_fract_y
_atom_site_fract_z
Lu1 Lu 0.000 0.000 0.000
Mg1 Mg 0.387 0.425 0.766
Al1 Al 0.295 0.865 0.592

=====

Entry 11:
# CdFeTc GGA-PBE relaxed
# - E_form (kcal/mol of atoms) = 8.262
# - magnetization (μB per cell) = 10.6
# - VASP energy (eV per atom) = -6.22
# - E above lowest polymorph (meV per atom) = 101
data_CdFeTc
_cell_length_a 3.147
_cell_length_b 4.423
_cell_length_c 13.461
_cell_angle_alpha 90.00
_cell_angle_beta 90.00
_cell_angle_gamma 90.00
_space_group_name_H-M_alt 'F m m 2'
_space_group_IT_number 42
_space_group_name_Hall 'F 2 -2'
loop_
_atom_site_label
_atom_site_type_symbol
_atom_site_fract_x
_atom_site_fract_y
_atom_site_fract_z
Cd1 Cd 0.000 0.000 0.000
Fe1 Fe 0.000 0.000 0.673
Tc1 Tc 0.000 0.000 0.316

=====

Entry 12:
# La2MgTl4 GGA-PBE relaxed
# - E_form (kcal/mol of atoms) = -0.856
# - magnetization (μB per cell) = 0.0
# - VASP energy (eV per atom) = -3.02
# - E above lowest polymorph (meV per atom) = 88
data_La2MgTl4
_cell_length_a 5.248
_cell_length_b 5.248
_cell_length_c 16.605
_cell_angle_alpha 90.00
_cell_angle_beta 90.00
_cell_angle_gamma 90.00
_space_group_name_H-M_alt 'I 4/m m m'
_space_group_IT_number 139
_space_group_name_Hall '-I 4 2'
loop_
_atom_site_label
_atom_site_type_symbol
_atom_site_fract_x
_atom_site_fract_y
_atom_site_fract_z
La1 La 0.000 0.000 0.134
Mg1 Mg 0.000 0.000 0.500
Tl1 Tl 0.000 0.000 0.326
Tl2 Tl 0.000 0.500 0.000